Run A
VASP calculation (PBE-GGA) on an optimized crystal structure of Cs2BRu.

D(E_F) = 45.9 states/eV/cell
crystal system = cubic

Cell: 8.179 8.179 8.179 Å, 90.00 90.00 90.00°
Space group Fm-3m (No. 225)
Asymmetric unit:
1 Cs 0.250 0.250 0.250 x8
2 B 0.000 0.000 0.000 x4
3 Ru 0.000 0.000 0.500 x4



Run B
VASP calculation (PBE-GGA) on an optimized crystal structure of Cs2BRu.

D(E_F) = 16.0 states/eV/cell
crystal system = tetragonal

Cell: 12.528 12.528 4.043 Å, 90.00 90.00 90.00°
Space group I4_1/amd (No. 141, origin choice 2)
Asymmetric unit:
1 Cs 0.000 0.000 0.000 x8
2 B 0.000 0.250 0.375 x4
3 Ru 0.000 0.250 0.875 x4



Question: of the structures shown, which is the most stable? Reply: run B.